Below is a relaxed structure of CeDyTeC, with properties calculated at the PBE level.

a = 7.444 Å, b = 7.444 Å, c = 7.444 Å
α = 30.15°, β = 30.15°, γ = 30.15°
Element x y z (fractional)
Ce: 0.000 0.000 0.000
Dy: 0.459 0.459 0.459
Te: 0.227 0.227 0.227
C: 0.728 0.728 0.728

Results
raw formation energy = -309 kJ/mol of formula units

=====

Below is a relaxed structure of CeDy2TlC, with properties calculated at the PBE level.

a = 4.964 Å, b = 4.964 Å, c = 4.905 Å
α = 90.00°, β = 90.00°, γ = 90.00°
Element x y z (fractional)
Ce: 0.000 0.000 0.000
Dy: 0.000 0.500 0.500
Dy: 0.500 0.000 0.500
Tl: 0.500 0.500 0.000
C: 0.000 0.000 0.500

Results
E_form = -0.37 eV per atom

=====

Below is a relaxed structure of Ce2DyTlC, with properties calculated at the PBE level.

a = 4.962 Å, b = 4.962 Å, c = 4.994 Å
α = 90.00°, β = 90.00°, γ = 90.00°
Element x y z (fractional)
Ce: 0.000 0.500 0.000
Ce: 0.500 0.000 0.000
Dy: 0.000 0.000 0.500
Tl: 0.500 0.500 0.500
C: 0.000 0.000 0.000

Results
E_form = -0.31 eV per atom

=====

Below is a relaxed structure of CeDy2UC4, with properties calculated at the PBE level.

a = 6.151 Å, b = 3.630 Å, c = 6.262 Å
α = 90.00°, β = 109.54°, γ = 90.00°
Element x y z (fractional)
Ce: 0.000 0.000 0.000
Dy: 0.500 0.000 0.500
Dy: 0.500 0.500 0.000
U: 0.000 0.500 0.500
C: 0.224 0.000 0.728
C: 0.225 0.500 0.267
C: 0.775 0.500 0.733
C: 0.776 0.000 0.272

Results
E_form = -0.21 eV per atom